Density functional theory data (PBE) for crystalline RbSn12Pt4 at its relaxed geometry.

Cell: 8.3061 8.3061 8.3061 Å, 109.47 109.47 109.47°
Fractional coordinates of all 17 atoms:
Rb: 0.0000 0.0000 0.0000
Sn: 0.1594 0.3456 0.5049
Sn: 0.1594 0.6544 0.8138
Sn: 0.1862 0.8406 0.3456
Sn: 0.3456 0.1862 0.8406
Sn: 0.3456 0.5049 0.1594
Sn: 0.4951 0.8406 0.6544
Sn: 0.5049 0.1594 0.3456
Sn: 0.6544 0.4951 0.8406
Sn: 0.6544 0.8138 0.1594
Sn: 0.8138 0.1594 0.6544
Sn: 0.8406 0.3456 0.1862
Sn: 0.8406 0.6544 0.4951
Pt: 0.0000 0.0000 0.5000
Pt: 0.0000 0.5000 0.0000
Pt: 0.5000 0.0000 0.0000
Pt: 0.5000 0.5000 0.5000


Density functional theory data (PBE) for crystalline RbSnPt3 at its relaxed geometry.

Cell: 5.1133 5.1133 5.1133 Å, 90.00 90.00 90.00°
Fractional coordinates of all 5 atoms:
Rb: 0.0000 0.0000 0.0000
Sn: 0.5000 0.5000 0.5000
Pt: 0.0000 0.0000 0.5000
Pt: 0.0000 0.5000 0.0000
Pt: 0.5000 0.0000 0.0000


Density functional theory data (PBE) for crystalline Rb2SnPt at its relaxed geometry.

Cell: 9.4037 9.4037 9.4037 Å, 94.18 94.18 148.67°
Fractional coordinates of all 8 atoms:
Rb: 0.3750 0.1935 0.3185
Rb: 0.8065 0.1250 0.1815
Rb: 0.8750 0.0565 0.6815
Rb: 0.9435 0.6250 0.8185
Sn: 0.2500 0.7500 0.5000
Sn: 0.5000 0.5000 0.0000
Pt: 0.0000 0.0000 0.0000
Pt: 0.7500 0.2500 0.5000


Density functional theory data (PBE) for crystalline RbTiSnPt2 at its relaxed geometry.

Cell: 4.9418 4.9418 5.3448 Å, 90.00 90.00 90.00°
Fractional coordinates of all 5 atoms:
Rb: 0.0000 0.0000 0.0000
Ti: 0.5000 0.5000 0.5000
Sn: 0.5000 0.5000 0.0000
Pt: 0.0000 0.5000 0.5000
Pt: 0.5000 0.0000 0.5000


Density functional theory data (PBE) for crystalline RbTl2SnPt at its relaxed geometry.

Cell: 5.5529 5.5529 5.3922 Å, 90.00 90.00 90.00°
Fractional coordinates of all 5 atoms:
Rb: 0.0000 0.0000 0.0000
Tl: 0.0000 0.5000 0.5000
Tl: 0.5000 0.0000 0.5000
Sn: 0.5000 0.5000 0.0000
Pt: 0.5000 0.5000 0.5000


Density functional theory data (PBE) for crystalline RbZn2SnPt at its relaxed geometry.

Cell: 5.0597 5.0597 5.2309 Å, 90.00 90.00 90.00°
Fractional coordinates of all 5 atoms:
Rb: 0.0000 0.0000 0.0000
Zn: 0.0000 0.5000 0.5000
Zn: 0.5000 0.0000 0.5000
Sn: 0.5000 0.5000 0.0000
Pt: 0.5000 0.5000 0.5000


Density functional theory data (PBE) for crystalline RbSr2Pt2 at its relaxed geometry.

Cell: 7.2671 7.2671 7.2671 Å, 134.38 134.38 66.49°
Fractional coordinates of all 5 atoms:
Rb: 0.0000 0.0000 0.0000
Sr: 0.3238 0.3238 0.0000
Sr: 0.6762 0.6762 0.0000
Pt: 0.2500 0.7500 0.5000
Pt: 0.7500 0.2500 0.5000


Density functional theory data (PBE) for crystalline Rb2SrPt at its relaxed geometry.

Cell: 6.0144 6.0144 6.0144 Å, 60.00 60.00 60.00°
Fractional coordinates of all 4 atoms:
Rb: 0.2500 0.2500 0.2500
Rb: 0.7500 0.7500 0.7500
Sr: 0.0000 0.0000 0.0000
Pt: 0.5000 0.5000 0.5000


N(E_F) in states/eV per cell, matching the order above: 8.2; 5.5; 4.8; 3.1; 4.9; 2.5; 2.0; 1.5
Formation energy from the elements in eV per formula unit, matching the order above: -5.86; 9.34; -0.68; 0.94; -0.16; -0.92; -1.56; 1.37